Material: SrRhC2
Method: DFT, meta-GGA SCAN
State: PBEsol geometry

Calculated values
For the energy of formation from the pure elements, the calculation gives 611 meV/atom. As for the volume: 133.7 Å³ per cell. Its density of states at the Fermi level is 2.57 states/eV/f.u. As for the space group: No. 122. As for the total DFT energy (no corrections): -147.606 eV/cell.

Geometry as CIF:
```
data_SrRhC2
_cell_length_a 6.3844
_cell_length_b 6.3844
_cell_length_c 6.3844
_cell_angle_alpha 133.72
_cell_angle_beta 133.72
_cell_angle_gamma 67.53
_space_group_name_H-M_alt 'P 1'
_space_group_IT_number 1
loop_
_space_group_symop_operation_xyz
'x,y,z'
loop_
_atom_site_label
_atom_site_type_symbol
_atom_site_fract_x
_atom_site_fract_y
_atom_site_fract_z
Sr1 Sr 0.0000 0.0000 0.0000
Sr2 Sr 0.7500 0.2500 0.5000
Rh1 Rh 0.2500 0.7500 0.5000
Rh2 Rh 0.5000 0.5000 0.0000
C1 C 0.2655 0.6250 0.1405
C2 C 0.3750 0.5155 0.6405
C3 C 0.4845 0.1250 0.8595
C4 C 0.8750 0.7345 0.3595
```